The following is a PBE calculation of an optimized crystal structure of Sc2PtBr, from Alexandria.

Cell and atoms, written as CIF:
```
data_Sc2PtBr
_space_group_name_H-M_alt 'R -3 m'
_space_group_IT_number 166
_space_group_name_Hall '-R 3 2"'
_cell_length_a 3.2083
_cell_length_b 3.2083
_cell_length_c 28.6809
_cell_angle_alpha 90.00
_cell_angle_beta 90.00
_cell_angle_gamma 120.00
loop_
_atom_site_label
_atom_site_type_symbol
_atom_site_fract_x
_atom_site_fract_y
_atom_site_fract_z
Sc1 Sc 0.0000 0.0000 0.0880
Pt1 Pt 0.0000 0.0000 0.0000
Br1 Br 0.0000 0.0000 0.5000
```

The spin magnetization comes out at 0.0 μB per formula unit. The distance to the lowest polymorph of the same formula is 793 meV/atom. The value obtained for the uncorrected formation energy is -0.303 eV/atom.